Ta2Tc: relaxed, GGA-PBE.

The space group is P4/mmm (No. 123) and the conventional cell measures 3.2075, 3.2075 and 9.8343 Å, with angles of 90.00, 90.00 and 90.00 degrees. Symmetry generates all atoms from Ta at (0.0000, 0.0000, 0.0000), Ta at (0.0000, 0.0000, 0.3225), Ta at (0.5000, 0.5000, 0.5000) and Tc at (0.5000, 0.5000, 0.1615).

For the size of the total moment, the calculation gives 0.00 μB/atom. Its density of states at the Fermi level is 3.21 states/eV/cell. The calculation puts the formation energy from the elements at -103 kJ/mol of formula units. For the offset from the most stable computed form, the calculation gives 24 meV/atom.